First-principles (GGA-PBE) data for an optimized crystal structure of SmInSnI6, as listed in Alexandria via LeMat-Bulk.

Unit cell a=8.0636 b=8.0636 c=15.1543 alpha=90.00 beta=90.00 gamma=120.00
With the nearest neighbours (Å) after each atom.
Space group P-31c (No. 163)
Symmetry-distinct sites (fractional):
Sm1 0.3333 0.6667 0.2500 [2 per cell]  6 I 3.11
In1 0.0000 0.0000 0.0000 [2 per cell]  6 I 3.52
Sn1 0.3333 0.6667 0.7500 [2 per cell]  6 I 3.20
I1 0.0089 0.3638 0.1315 [12 per cell]  1 Sm 3.11, 1 Sn 3.20

Uncorrected energy   -57.653 eV for the cell shown